Compound: K3TaRe
Source: the Alexandria database
Functional: GGA-PBE
Structure: optimized geometry

Lattice parameters (Å, degrees): 5.946 5.946 5.946 90.00 90.00 90.00
Fractional positions:
Ta  0.500  0.500  0.500
K  0.500  0.000  0.000
K  0.000  0.000  0.500
K  0.000  0.500  0.000
Re  0.000  0.000  0.000

Summary:
The excess energy over the best structure of this formula in the dataset is 0 meV/atom. The value obtained for the total moment is 0.00 μB/f.u. As for the symmetry: No. 221. As for the energy relative to the elements: 2.960 eV per atom. The calculation puts the calculated volume at 42.046 A^3/atom.


Compound: HfFeH2
Source: the Alexandria database
Functional: GGA-PBE
Structure: optimized geometry

Lattice parameters (Å, degrees): 4.012 4.012 5.382 68.11 68.11 90.00
Fractional positions:
H  0.207  0.625  0.250
H  0.375  0.457  0.750
H  0.875  0.793  0.750
H  0.543  0.125  0.250
Fe  0.250  0.750  0.500
Fe  0.500  0.500  0.000
Hf  0.000  0.000  0.000
Hf  0.750  0.250  0.500

Summary:
The excess energy over the best structure of this formula in the dataset is 36 meV/atom. The value obtained for the total moment is 0.00 μB/f.u. As for the symmetry: No. 122. The calculation puts the calculated volume at 9.203 A^3/atom.


Compound: Ca4HgBi
Source: the Alexandria database
Functional: GGA-PBE
Structure: optimized geometry

Lattice parameters (Å, degrees): 5.803 7.215 10.383 90.00 117.33 90.00
Fractional positions:
Bi  0.310  0.250  0.073
Bi  0.690  0.750  0.927
Ca  0.604  0.250  0.431
Ca  0.347  0.750  0.123
Ca  0.941  0.493  0.244
Ca  0.396  0.750  0.569
Ca  0.059  0.507  0.756
Ca  0.653  0.250  0.877
Ca  0.941  0.007  0.244
Ca  0.059  0.993  0.756
Hg  0.793  0.750  0.450
Hg  0.207  0.250  0.550

Summary:
The excess energy over the best structure of this formula in the dataset is 0 meV/atom. The value obtained for the total moment is 0.00 μB/f.u. As for the symmetry: No. 11. As for the energy relative to the elements: -0.530 eV per atom. The calculation puts the calculated volume at 32.182 A^3/atom.


Compound: NdCuAg
Source: the Alexandria database
Functional: GGA-PBE
Structure: optimized geometry

Lattice parameters (Å, degrees): 3.607 4.598 4.598 120.00 90.00 90.00
Fractional positions:
Cu  0.167  0.000  0.000
Ag  0.167  0.667  0.333
Nd  0.667  0.333  0.667

Summary:
The excess energy over the best structure of this formula in the dataset is 35 meV/atom. The value obtained for the total moment is 0.00 μB/f.u. As for the symmetry: No. 187. As for the energy relative to the elements: -0.198 eV per atom. The calculation puts the calculated volume at 22.014 A^3/atom.


Compound: CaTl2Ru
Source: the Alexandria database
Functional: GGA-PBE
Structure: optimized geometry

Lattice parameters (Å, degrees): 5.963 5.963 5.963 145.37 127.42 64.50
Fractional positions:
Tl  0.466  0.466  0.000
Tl  0.034  0.034  0.000
Ca  0.750  0.250  0.500
Ru  0.250  0.750  0.500

Summary:
The value obtained for the total moment is 0.00 μB/f.u. As for the symmetry: No. 71. As for the energy relative to the elements: 0.135 eV per atom. The calculation puts the calculated volume at 23.638 A^3/atom.


Compound: Ag5SnHg
Source: the Alexandria database
Functional: GGA-PBE
Structure: optimized geometry

Lattice parameters (Å, degrees): 5.467 5.467 10.099 75.76 75.76 96.26
Fractional positions:
Hg  0.496  0.504  0.250
Hg  0.504  0.496  0.750
Ag  0.765  0.454  0.963
Ag  0.385  0.026  0.158
Ag  0.026  0.385  0.658
Ag  0.153  0.847  0.750
Ag  0.974  0.615  0.342
Ag  0.546  0.235  0.537
Ag  0.235  0.546  0.037
Ag  0.847  0.153  0.250
Ag  0.454  0.765  0.463
Ag  0.615  0.974  0.842
Sn  0.000  0.000  0.000
Sn  0.000  0.000  0.500

Summary:
The excess energy over the best structure of this formula in the dataset is 0 meV/atom. The value obtained for the total moment is 0.00 μB/f.u. As for the symmetry: No. 15. As for the energy relative to the elements: 0.045 eV per atom. The calculation puts the calculated volume at 19.922 A^3/atom.


Compound: TbEr3Si4
Source: the Alexandria database
Functional: GGA-PBE
Structure: optimized geometry

Lattice parameters (Å, degrees): 3.917 6.245 8.578 111.36 103.20 90.00
Fractional positions:
Er  0.000  0.500  0.000
Er  0.805  0.805  0.611
Er  0.195  0.195  0.389
Si  0.632  0.818  0.265
Si  0.632  0.447  0.265
Si  0.368  0.182  0.735
Si  0.368  0.553  0.735
Tb  0.500  0.000  0.000

Summary:
As for the uncorrected formation energy: -538 meV per atom. The value obtained for the total moment is 0.00 μB/f.u. As for the symmetry: No. 71. The calculation puts the calculated volume at 23.685 A^3/atom.


Compound: Na3Pa2MoN6
Source: the Alexandria database
Functional: GGA-PBE
Structure: optimized geometry

Lattice parameters (Å, degrees): 5.900 5.900 6.009 99.15 99.15 120.10
Site moments in Bohr magnetons follow the coordinates.
Fractional positions:
Pa  0.333  0.667  0.000  0.08
Pa  0.667  0.333  0.000  0.08
N  0.626  0.939  0.813  0.00
N  0.061  0.374  0.187  0.00
N  0.374  0.061  0.187  0.00
N  0.256  0.256  0.813  0.00
N  0.744  0.744  0.187  0.00
N  0.939  0.626  0.813  0.00
Mo  0.000  0.000  0.000  0.47
Na  0.500  0.500  0.500  0.00
Na  0.846  0.154  0.500  0.00
Na  0.154  0.846  0.500  0.00

Summary:
As for the uncorrected formation energy: -878 meV per atom. The value obtained for the total moment is 0.72 μB/f.u. As for the symmetry: No. 12. The calculation puts the calculated volume at 14.296 A^3/atom.


Compound: AcPuGa4
Source: the Alexandria database
Functional: GGA-PBE
Structure: optimized geometry

Lattice parameters (Å, degrees): 4.294 6.228 6.228 91.28 69.83 69.83
Site moments in Bohr magnetons follow the coordinates.
Fractional positions:
Ga  0.334  0.430  0.402  -0.02
Ga  0.666  0.570  0.598  -0.02
Ga  0.666  0.099  0.070  -0.02
Ga  0.334  0.901  0.930  -0.02
Ac  0.000  0.000  0.500  0.01
Pu  0.000  0.500  0.000  5.34

Summary:
The excess energy over the best structure of this formula in the dataset is 16 meV/atom. The value obtained for the total moment is 5.66 μB/f.u. As for the symmetry: No. 71. As for the energy relative to the elements: -0.443 eV per atom. The calculation puts the calculated volume at 24.146 A^3/atom.


Compound: K3SmF6
Source: the Alexandria database
Functional: GGA-PBE
Structure: optimized geometry

Lattice parameters (Å, degrees): 4.017 8.398 10.237 90.00 90.00 90.00
Fractional positions:
K  0.000  0.000  0.500
K  0.000  0.722  0.253
K  0.500  0.778  0.753
K  0.500  0.222  0.247
K  0.500  0.500  0.000
K  0.000  0.278  0.747
F  0.500  0.471  0.730
F  0.500  0.112  0.914
F  0.000  0.722  0.961
F  0.500  0.888  0.086
F  0.000  0.278  0.039
F  0.000  0.612  0.586
F  0.500  0.529  0.270
F  0.500  0.222  0.539
F  0.000  0.388  0.414
F  0.000  0.971  0.770
F  0.500  0.778  0.461
F  0.000  0.029  0.230
Sm  0.000  0.000  0.000
Sm  0.500  0.500  0.500

Summary:
As for the uncorrected formation energy: -3260 meV per atom. The value obtained for the total moment is 0.00 μB/f.u. As for the symmetry: No. 58. The calculation puts the calculated volume at 17.264 A^3/atom.


Compound: BaPb4Cl
Source: the Alexandria database
Functional: GGA-PBE
Structure: optimized geometry

Lattice parameters (Å, degrees): 6.591 6.591 6.591 60.00 60.00 60.00
Fractional positions:
Pb  0.375  0.875  0.375
Pb  0.375  0.375  0.375
Pb  0.375  0.375  0.875
Pb  0.875  0.375  0.375
Cl  0.000  0.000  0.000
Ba  0.750  0.750  0.750

Summary:
As for the uncorrected formation energy: -369 meV per atom. The value obtained for the total moment is 0.00 μB/f.u. As for the symmetry: No. 216. The calculation puts the calculated volume at 33.742 A^3/atom.


Compound: In2HgIr2
Source: the Alexandria database
Functional: GGA-PBE
Structure: optimized geometry

Lattice parameters (Å, degrees): 4.265 4.265 6.566 71.05 71.05 90.00
Fractional positions:
In  0.750  0.250  0.500
In  0.250  0.750  0.500
Ir  0.607  0.607  0.785
Ir  0.393  0.393  0.215
Hg  0.000  0.000  0.000

Summary:
The excess energy over the best structure of this formula in the dataset is 245 meV/atom. The value obtained for the total moment is 0.00 μB/f.u. As for the symmetry: No. 139. As for the energy relative to the elements: 0.262 eV per atom. The calculation puts the calculated volume at 21.216 A^3/atom.


Compound: Pu4SiH4
Source: the Alexandria database
Functional: GGA-PBE
Structure: optimized geometry

Lattice parameters (Å, degrees): 6.090 6.090 7.379 90.00 90.00 90.00
Site moments in Bohr magnetons follow the coordinates.
Fractional positions:
H  0.500  0.777  0.148  -0.03
H  0.277  0.000  0.648  -0.03
H  0.000  0.277  0.352  -0.03
H  0.723  0.000  0.648  -0.03
H  0.223  0.500  0.852  -0.03
H  0.777  0.500  0.852  -0.03
H  0.500  0.223  0.148  -0.03
H  0.000  0.723  0.352  -0.03
Si  0.500  0.500  0.500  -0.14
Si  0.000  0.000  0.000  -0.14
Pu  0.265  0.000  0.331  5.64
Pu  0.735  0.000  0.331  5.64
Pu  0.235  0.500  0.169  5.64
Pu  0.500  0.235  0.831  5.64
Pu  0.500  0.765  0.831  5.64
Pu  0.765  0.500  0.169  5.64
Pu  0.000  0.265  0.669  5.64
Pu  0.000  0.735  0.669  5.64

Summary:
As for the total energy: -8.69 eV per atom. The value obtained for the total moment is 23.47 μB/f.u. As for the symmetry: No. 137. The calculation puts the calculated volume at 15.202 A^3/atom.


Compound: NdCo4As12
Source: the Alexandria database
Functional: GGA-PBE
Structure: optimized geometry

Lattice parameters (Å, degrees): 7.267 7.267 7.267 109.47 109.47 109.47
Fractional positions:
Co  0.000  0.500  0.000
Co  0.500  0.000  0.000
Co  0.500  0.500  0.500
Co  0.000  0.000  0.500
As  0.811  0.154  0.658
As  0.846  0.658  0.504
As  0.189  0.846  0.342
As  0.846  0.342  0.189
As  0.496  0.154  0.342
As  0.342  0.496  0.154
As  0.154  0.658  0.811
As  0.658  0.811  0.154
As  0.154  0.342  0.496
As  0.658  0.504  0.846
As  0.504  0.846  0.658
As  0.342  0.189  0.846
Nd  0.000  0.000  0.000

Summary:
The value obtained for the total moment is 0.00 μB/f.u. As for the symmetry: No. 204. As for the energy relative to the elements: -0.369 eV per atom. The calculation puts the calculated volume at 17.377 A^3/atom.


Compound: CeCdAgRu
Source: the Alexandria database
Functional: GGA-PBE
Structure: optimized geometry

Lattice parameters (Å, degrees): 4.868 4.868 4.868 60.00 60.00 60.00
Fractional positions:
Ce  0.500  0.500  0.500
Ru  0.750  0.750  0.750
Ag  0.250  0.250  0.250
Cd  0.000  0.000  0.000

Summary:
The value obtained for the total moment is 0.00 μB/f.u. As for the symmetry: No. 216. As for the energy relative to the elements: -0.011 eV per atom. The calculation puts the calculated volume at 20.394 A^3/atom.


Compound: Er4BO7
Source: the Alexandria database
Functional: GGA-PBE
Structure: optimized geometry

Lattice parameters (Å, degrees): 4.023 6.411 6.398 77.98 71.67 71.71
Fractional positions:
O  0.500  0.000  0.000
O  0.193  0.157  0.457
O  0.061  0.783  0.096
O  0.939  0.217  0.904
O  0.359  0.534  0.748
O  0.807  0.843  0.543
O  0.641  0.466  0.252
B  0.000  0.000  0.000
Er  0.404  0.788  0.404
Er  0.725  0.675  0.875
Er  0.596  0.212  0.596
Er  0.275  0.325  0.125

Summary:
As for the uncorrected formation energy: -3008 meV per atom. The value obtained for the total moment is 0.00 μB/f.u. As for the symmetry: No. 12. The calculation puts the calculated volume at 12.304 A^3/atom.


Compound: Mg5Si6
Source: the Alexandria database
Functional: GGA-PBE
Structure: optimized geometry

Lattice parameters (Å, degrees): 8.093 8.093 6.711 75.46 75.46 28.01
Fractional positions:
Si  0.811  0.811  0.267
Si  0.206  0.206  0.342
Si  0.045  0.045  0.308
Si  0.955  0.955  0.692
Si  0.794  0.794  0.658
Si  0.189  0.189  0.733
Mg  0.500  0.500  0.000
Mg  0.593  0.593  0.566
Mg  0.327  0.327  0.938
Mg  0.407  0.407  0.434
Mg  0.673  0.673  0.062

Summary:
The excess energy over the best structure of this formula in the dataset is 91 meV/atom. As for the uncorrected formation energy: 116 meV per atom. The value obtained for the total moment is 0.00 μB/f.u. As for the symmetry: No. 12. The calculation puts the calculated volume at 18.125 A^3/atom.


Compound: CeLuInHg
Source: the Alexandria database
Functional: GGA-PBE
Structure: optimized geometry

Lattice parameters (Å, degrees): 5.336 5.336 5.336 60.00 60.00 60.00
Site moments in Bohr magnetons follow the coordinates.
Fractional positions:
Lu  0.500  0.500  0.500  0.11
In  0.750  0.750  0.750  -0.01
Ce  0.000  0.000  0.000  0.80
Hg  0.250  0.250  0.250  0.02

Summary:
The value obtained for the total moment is 1.17 μB/f.u. As for the symmetry: No. 216. As for the energy relative to the elements: -0.362 eV per atom. The calculation puts the calculated volume at 26.860 A^3/atom.


Compound: Ba4Na2Br
Source: the Alexandria database
Functional: GGA-PBE
Structure: optimized geometry

Lattice parameters (Å, degrees): 6.328 6.328 10.780 72.93 72.93 90.00
Site moments in Bohr magnetons follow the coordinates.
Fractional positions:
Ba  0.817  0.817  0.366  0.02
Ba  0.000  0.500  0.000  0.07
Ba  0.500  0.000  0.000  0.07
Ba  0.183  0.183  0.634  0.02
Na  0.623  0.623  0.754  0.00
Na  0.377  0.377  0.246  0.00
Br  0.000  0.000  0.000  0.00

Summary:
As for the uncorrected formation energy: -304 meV per atom. The value obtained for the total moment is 0.65 μB/f.u. As for the symmetry: No. 139. The calculation puts the calculated volume at 56.110 A^3/atom.


Compound: ZnAu3S
Source: the Alexandria database
Functional: GGA-PBE
Structure: optimized geometry

Lattice parameters (Å, degrees): 4.823 4.823 4.823 90.00 90.00 90.00
Fractional positions:
Au  0.500  0.000  0.000
Au  0.000  0.000  0.500
Au  0.000  0.500  0.000
S  0.500  0.500  0.500
Zn  0.000  0.000  0.000

Summary:
The excess energy over the best structure of this formula in the dataset is 280 meV/atom. As for the uncorrected formation energy: 766 meV per atom. The value obtained for the total moment is 0.00 μB/f.u. As for the symmetry: No. 221. The calculation puts the calculated volume at 22.438 A^3/atom.